Record 1
Rb2Nb2Pb: optimized geometry, PBEsol.

Summary:
For the density of states at the Fermi level, the calculation gives 1.08 states/eV per atom. The calculation puts the formation energy at 6.020 eV/f.u.

Geometry as CIF:
```
data_Rb2Nb2Pb
_chemical_formula_sum 'Rb4 Nb4 Pb2'
_space_group_name_H-M_alt 'I 4/m m m'
_space_group_IT_number 139
_space_group_name_Hall '-I 4 2'
_cell_length_a 4.317
_cell_length_b 4.317
_cell_length_c 16.281
_cell_angle_alpha 90.00
_cell_angle_beta 90.00
_cell_angle_gamma 90.00
loop_
_atom_site_label
_atom_site_fract_x
_atom_site_fract_y
_atom_site_fract_z
Rb1 0.000 0.500 0.250
Nb1 0.000 0.000 0.067
Pb1 0.000 0.000 0.500
```



Record 2
FeNiRu2: optimized geometry, PBEsol.

Summary:
For the density of states at the Fermi level, the calculation gives 1.38 states/eV per atom. The calculation puts the formation energy at 0.642 eV/f.u.

Geometry as CIF:
```
data_FeNiRu2
_chemical_formula_sum 'Fe2 Ni2 Ru4'
_space_group_name_H-M_alt 'C m m m'
_space_group_IT_number 65
_space_group_name_Hall '-C 2 2'
_cell_length_a 5.178
_cell_length_b 7.163
_cell_length_c 2.577
_cell_angle_alpha 90.00
_cell_angle_beta 90.00
_cell_angle_gamma 90.00
loop_
_atom_site_label
_atom_site_fract_x
_atom_site_fract_y
_atom_site_fract_z
Fe1 0.000 0.000 0.000
Ni1 0.000 0.500 0.000
Ru1 0.250 0.250 0.500
```



Record 3
HfZnIn2Mo: optimized geometry, PBEsol.

Summary:
For the density of states at the Fermi level, the calculation gives 0.62 states/eV per atom. The calculation puts the formation energy at 3.898 eV/f.u.

Geometry as CIF:
```
data_HfZnIn2Mo
_chemical_formula_sum 'Hf1 Zn1 In2 Mo1'
_space_group_name_H-M_alt 'P 4/m m m'
_space_group_IT_number 123
_space_group_name_Hall '-P 4 2'
_cell_length_a 5.242
_cell_length_b 5.242
_cell_length_c 4.834
_cell_angle_alpha 90.00
_cell_angle_beta 90.00
_cell_angle_gamma 90.00
loop_
_atom_site_label
_atom_site_fract_x
_atom_site_fract_y
_atom_site_fract_z
Hf1 0.000 0.000 0.000
Zn1 0.500 0.500 0.000
In1 0.000 0.500 0.500
Mo1 0.000 0.000 0.500
```



Repeat the third record exactly.
HfZnIn2Mo: optimized geometry, PBEsol.

Summary:
For the density of states at the Fermi level, the calculation gives 0.62 states/eV per atom. The calculation puts the formation energy at 3.898 eV/f.u.

Geometry as CIF:
```
data_HfZnIn2Mo
_chemical_formula_sum 'Hf1 Zn1 In2 Mo1'
_space_group_name_H-M_alt 'P 4/m m m'
_space_group_IT_number 123
_space_group_name_Hall '-P 4 2'
_cell_length_a 5.242
_cell_length_b 5.242
_cell_length_c 4.834
_cell_angle_alpha 90.00
_cell_angle_beta 90.00
_cell_angle_gamma 90.00
loop_
_atom_site_label
_atom_site_fract_x
_atom_site_fract_y
_atom_site_fract_z
Hf1 0.000 0.000 0.000
Zn1 0.500 0.500 0.000
In1 0.000 0.500 0.500
Mo1 0.000 0.000 0.500
```